(1)
Pr2Nd3DyTm6 PBE relaxed; space group = C2/m (12); calculated volume = 386.2 Å³ per cell; density = 8.1 g/cm³; E_form = 18 meV per atom
1.0
6.2126 -0.0001 0.0046
-3.1048 5.3811 0.0046
-1.0414 -1.8032 11.5507
Pr Dy Tm Nd
2 1 6 3
Cartesian
3.1047 1.7949 0.0046
0.0031 3.5862 0.0046
0.0000 0.0000 0.0000
2.0681 -0.0008 2.8845
-1.0342 1.7910 2.8845
2.0730 3.5893 2.8928
-0.0066 -0.0114 8.6671
3.1006 1.7869 8.6753
-0.0018 3.5787 8.6753
4.1369 -0.0036 5.7799
-2.0705 3.5815 5.7799
1.0332 1.7889 5.7799


(2)
PrNd2Dy2Tm2 PBE relaxed; space group = C2/m (12); calculated volume = 235.6 Å³ per cell; density = 7.7 g/cm³; E_form = 149 meV per atom
1.0
3.5062 0.0000 0.0000
-1.7531 9.0227 -1.0976
0.0000 -3.2601 7.8451
Dy Pr Tm Nd
2 1 2 2
Cartesian
1.7531 0.5117 1.6890
0.0000 5.2509 5.0585
0.0000 -1.6300 3.9226
1.7531 3.9658 2.3294
0.0000 1.7969 4.4181
1.7531 -0.2967 6.8223
0.0000 6.0594 -0.0748


(3)
Pr2NdDyTm2 PBE relaxed; space group = Pnnm (58); calculated volume = 397.2 Å³ per cell; density = 7.7 g/cm³; E_form = 68 meV per atom
1.0
5.6883 0.0000 0.0000
0.0000 9.8713 0.0000
0.0000 0.0000 7.0731
Tm Nd Pr Dy
4 2 4 2
Cartesian
2.8442 8.2218 5.3088
0.0000 6.5852 1.7723
0.0000 3.2861 5.3008
2.8442 1.6496 1.7642
2.8442 4.9357 3.5365
0.0000 0.0000 0.0000
0.0000 3.2924 1.7505
0.0000 6.5789 5.3226
2.8442 8.2281 1.7860
2.8442 1.6432 5.2870
2.8442 4.9357 0.0000
0.0000 0.0000 3.5365


(4)
PrNdDy5Tm2 PBE relaxed; space group = Cmc2_1 (36); calculated volume = 591.7 Å³ per cell; density = 8.1 g/cm³; E_form = 161 meV per atom
1.0
5.6102 0.0000 0.0000
-2.8051 9.9069 0.0000
0.0000 0.0000 10.6457
Dy Tm Pr Nd
10 4 2 2
Cartesian
2.8051 3.9926 2.2177
0.0000 5.9143 7.5405
0.0000 9.4584 7.8383
2.8051 2.1321 5.5860
2.8051 4.3167 8.6075
0.0000 7.7748 0.2631
0.0000 0.3412 0.2916
0.0000 5.5902 3.2846
2.8051 9.5657 5.6145
2.8051 0.4485 2.5154
2.8051 7.7390 2.5152
0.0000 2.1679 7.8381
0.0000 2.2563 3.4165
2.8051 7.6506 8.7394
2.8051 5.8966 5.4475
0.0000 4.0103 0.1246
2.8051 1.6397 10.1117
0.0000 8.2672 4.7888


(5)
PrNdDy2Tm4 PBE relaxed; space group = P-1 (2); calculated volume = 504.9 Å³ per cell; density = 8.5 g/cm³; E_form = 6 meV per atom
1.0
10.5163 -0.4825 -4.5540
0.2921 7.1275 -0.0839
-8.2077 -3.1163 10.2567
Tm Dy Nd Pr
8 4 2 2
Cartesian
-5.8942 -1.4508 8.1478
8.4949 4.9795 -2.5290
-0.8702 3.6657 4.8780
8.3483 1.4171 -2.4894
-1.0161 0.0975 4.9204
3.4709 -0.1371 0.7408
-5.7474 2.1116 8.1081
3.6167 3.4313 0.6984
1.1543 -1.7994 2.8513
5.2581 -0.2412 -2.2770
5.4042 3.3224 -2.3190
-4.1038 -1.5581 5.1284
6.5585 1.5231 0.5323
0.1460 3.5637 -0.0419
1.3003 1.7644 2.8094
2.3086 -3.5987 5.7027


(6)
Pr2NdDyTm PBE relaxed; space group = Cmcm (63); calculated volume = 364.5 Å³ per cell; density = 6.9 g/cm³; E_form = 387 meV per atom
1.0
7.3379 0.0000 0.0000
0.0000 8.5176 0.0000
0.0000 -4.2588 5.8313
Pr Nd Dy Tm
4 2 2 2
Cartesian
0.0000 2.5972 0.0000
0.0000 5.9204 0.0000
3.6689 2.5972 0.0000
3.6689 5.9204 0.0000
5.5034 0.0000 3.1993
1.8345 4.2588 2.6320
1.8345 0.0000 3.1005
5.5034 4.2588 2.7308
5.5034 0.0000 0.0946
1.8345 4.2588 5.7368


(7)
Pr6NdDy2Tm PBE relaxed; space group = C2/c (15); calculated volume = 697.0 Å³ per cell; density = 7.1 g/cm³; E_form = 113 meV per atom
1.0
-5.9349 -7.4418 2.0006
2.3135 -3.2503 -8.0889
5.5149 -1.7703 6.9137
Pr Nd Dy Tm
12 2 4 2
Cartesian
-0.9703 -6.1424 5.2300
-0.8900 -6.8039 -4.2362
3.6303 -4.0292 -2.1032
4.1390 -2.1300 4.4242
2.8638 -6.3200 -4.4046
-2.2455 -10.3325 -3.5988
0.5326 -5.0350 -1.3430
-1.7368 -8.4332 2.9286
0.2109 -3.2474 -4.1416
2.7835 -5.6585 5.0616
1.3609 -7.4274 2.1684
1.6826 -9.2151 4.9670
0.9158 -5.0710 -7.1857
0.9777 -7.3914 8.0111
3.0223 -7.1999 -0.7032
1.5278 -1.6853 -0.9283
0.3657 -10.7772 1.7537
-1.1288 -5.2625 1.5286
-0.8176 -8.2214 -0.4020
2.7111 -4.2411 1.2274


(8)
Pr2NdDy2Tm PBE relaxed; space group = Pmma (51); calculated volume = 399.2 Å³ per cell; density = 7.7 g/cm³; E_form = 62 meV per atom
1.0
5.7039 0.0000 0.0000
0.0000 7.0809 0.0000
0.0000 0.0000 9.8843
Dy Nd Pr Tm
4 2 4 2
Cartesian
2.8519 1.8242 3.2682
0.0000 1.8239 8.2664
0.0000 5.3644 1.6179
2.8519 5.3647 6.6162
2.8519 1.8246 6.4811
2.8519 5.3650 3.4033
2.8519 3.5941 0.0007
2.8519 0.0537 9.8837
0.0000 5.3639 8.1123
0.0000 1.8235 1.7720
0.0000 3.5943 4.9416
0.0000 0.0539 4.9427


(9)
PrNdDy2Tm2 PBE relaxed; space group = Pnnm (58); calculated volume = 400.4 Å³ per cell; density = 7.9 g/cm³; E_form = 280 meV per atom
1.0
-1.5137 -0.9856 -2.8944
5.8140 -1.7876 -2.4319
-2.2264 -16.4412 6.7626
Tm Dy Pr Nd
4 4 2 2
Cartesian
2.3008 -15.2731 3.9972
2.9893 -7.6474 -0.9702
1.2868 -2.9557 0.3335
-0.9155 -11.5669 2.4065
1.9135 -13.0916 1.4462
0.1604 -6.1227 -0.0099
-0.5139 -13.7528 4.9516
4.1015 -4.4760 -0.6209
1.0369 -9.6072 0.7181
0.0000 0.0000 0.0000
-1.1132 -8.2206 3.3813
2.1501 -1.3866 -2.6632


(10)
Pr3NdDyTm PBE relaxed; space group = Cmcm (63); calculated volume = 409.9 Å³ per cell; density = 7.3 g/cm³; E_form = 19 meV per atom
1.0
5.1439 0.0000 0.0000
-2.5719 7.7536 0.0000
0.0000 0.0000 10.2775
Tm Nd Pr Dy
2 2 6 2
Cartesian
0.0000 2.5573 2.5694
2.5720 5.1963 7.7081
0.0000 0.0000 5.1388
0.0000 0.0000 0.0000
2.5719 2.5760 0.0070
0.0000 2.5912 7.7081
2.5719 5.1623 2.5694
2.5719 2.5760 5.1318
0.0000 5.1775 5.1457
0.0000 5.1775 10.2705
0.0000 7.7243 7.7081
2.5720 0.0293 2.5694


(11)
PrNd2Dy3Tm6 PBE relaxed; space group = C2/m (12); calculated volume = 378.8 Å³ per cell; density = 8.5 g/cm³; E_form = 23 meV per atom
1.0
-3.6807 -4.8638 -0.8809
3.9358 0.0626 4.7419
-8.1342 6.4881 5.3340
Tm Dy Nd Pr
6 3 2 1
Cartesian
-3.2696 -0.3853 1.3891
-4.6095 2.0722 7.8059
-1.8721 -1.9633 4.2560
-7.1494 0.4294 5.9308
-0.7297 1.2575 3.2641
-6.0070 3.6503 4.9389
-3.9395 0.8435 4.5975
-6.4783 -0.7986 2.7233
-1.4008 2.4855 6.4717
1.3970 -1.5795 2.8676
-1.1419 -3.2216 0.9934
0.0000 0.0000 0.0000


(12)
PrNd2Dy2Tm PBE relaxed; space group = Pmma (51); calculated volume = 397.2 Å³ per cell; density = 7.7 g/cm³; E_form = 62 meV per atom
1.0
-1.8599 -1.7594 5.0862
6.6778 -0.6182 2.2281
-0.1904 9.3490 3.1644
Tm Nd Pr Dy
2 4 2 4
Cartesian
3.2956 4.3609 2.7136
-0.0433 4.6694 1.5994
2.4589 -1.1924 3.6741
1.6861 1.5064 1.1377
4.9025 7.2150 4.2885
-1.0703 8.4636 5.7238
0.6657 5.0882 5.1910
4.0638 1.8738 5.3216
4.0014 4.9272 6.3550
1.5605 7.6677 3.2231
5.0278 1.0537 2.2030
0.7277 2.0348 4.1574


Q: Look up the E_form of the eleventh one.
A: 23 meV per atom


What did the eleventh record say?
PrNd2Dy3Tm6 PBE relaxed; space group = C2/m (12); calculated volume = 378.8 Å³ per cell; density = 8.5 g/cm³; E_form = 23 meV per atom
1.0
-3.6807 -4.8638 -0.8809
3.9358 0.0626 4.7419
-8.1342 6.4881 5.3340
Tm Dy Nd Pr
6 3 2 1
Cartesian
-3.2696 -0.3853 1.3891
-4.6095 2.0722 7.8059
-1.8721 -1.9633 4.2560
-7.1494 0.4294 5.9308
-0.7297 1.2575 3.2641
-6.0070 3.6503 4.9389
-3.9395 0.8435 4.5975
-6.4783 -0.7986 2.7233
-1.4008 2.4855 6.4717
1.3970 -1.5795 2.8676
-1.1419 -3.2216 0.9934
0.0000 0.0000 0.0000


Q: What is the formula in the fourth record?
A: PrNdDy5Tm2


Q: The highest calculated volume belongs to which entry?
A: Pr6NdDy2Tm